1.
GdAgPd2 | GGA-PBE | optimized geometry

a = 4.346 Å, b = 4.346 Å, c = 3.943 Å
α = 90.00°, β = 90.00°, γ = 90.00°
Space group P4/mmm (No. 123)
One atom of each set of equivalent atoms:
Gd: 0.000 0.000 0.000
Ag: 0.500 0.500 0.000
Pd: 0.000 0.500 0.500

Values from the calculation:
* crystal system: tetragonal
* DFT formation energy: -2.6 eV/f.u.
* magnetization: 7.01 μB/f.u.



2.
HoTlAu2 | GGA-PBE | optimized geometry

a = 3.707 Å, b = 3.707 Å, c = 6.742 Å
α = 90.00°, β = 90.00°, γ = 90.00°
Space group P4/mmm (No. 123)
One atom of each set of equivalent atoms:
Ho: 0.000 0.000 0.000
Tl: 0.000 0.000 0.500
Au: 0.500 0.500 0.224

Values from the calculation:
* crystal system: tetragonal
* DFT formation energy: -2.1 eV/f.u.
* magnetization: 0.00 μB/f.u.



3.
Ag8BiTe6 | GGA-PBE | optimized geometry

a = 7.7186 Å, b = 7.7186 Å, c = 23.3981 Å
α = 90.00°, β = 90.00°, γ = 120.00°
Space group R-3 (No. 148, hexagonal axes)
One atom of each set of equivalent atoms:
Ag: 0.0000 0.0000 0.0690
Ag: 0.0306 0.7699 0.6397
Bi: 0.0000 0.0000 0.5000
Te: 0.0022 0.2985 0.2383

Values from the calculation:
* formation energy from raw total energies: -5.4 kJ per mole of atoms
* crystal system: trigonal
* magnetization: 0.00 μB/f.u.



4.
Rb3MnCo | GGA-PBE | optimized geometry

a = 6.553 Å, b = 6.553 Å, c = 6.553 Å
α = 90.00°, β = 90.00°, γ = 90.00°
Space group Pm-3m (No. 221)
One atom of each set of equivalent atoms:
Rb: 0.000 0.000 0.500
Mn: 0.500 0.500 0.500
Co: 0.000 0.000 0.000

Values from the calculation:
* crystal system: cubic
* DFT formation energy: 6.0 eV/f.u.
* magnetization: 5.65 μB/f.u.



5.
Sc6In2C | GGA-PBE | optimized geometry

a = 9.110 Å, b = 9.110 Å, c = 9.110 Å
α = 90.00°, β = 90.00°, γ = 90.00°
Space group Fm-3m (No. 225)
One atom of each set of equivalent atoms:
Sc: 0.000 0.000 0.245
In: 0.250 0.250 0.250
C: 0.000 0.000 0.000

Values from the calculation:
* crystal system: cubic
* DFT formation energy: -4.6 eV/f.u.
* magnetization: 0.00 μB/f.u.



6.
SrPSe | GGA-PBE | optimized geometry

a = 7.005 Å, b = 7.005 Å, c = 7.005 Å
α = 90.00°, β = 90.00°, γ = 90.00°
Space group F-43m (No. 216)
One atom of each set of equivalent atoms:
Sr: 0.000 0.000 0.000
P: 0.000 0.000 0.500
Se: 0.250 0.250 0.250

Values from the calculation:
* formation energy from raw total energies: -32.1 kJ per mole of atoms
* crystal system: cubic
* magnetization: 0.00 μB/f.u.



7.
AlOs2Pb | GGA-PBE | optimized geometry

a = 2.926 Å, b = 2.926 Å, c = 8.439 Å
α = 90.00°, β = 90.00°, γ = 90.00°
Space group P4mm (No. 99)
One atom of each set of equivalent atoms:
Al: 0.000 0.000 0.000
Os: 0.000 0.000 0.396
Os: 0.500 0.500 0.203
Pb: 0.500 0.500 0.673

Values from the calculation:
* energy relative to the lowest polymorph listed for this composition: 1.7 meV per atom
* crystal system: tetragonal
* DFT formation energy: 1.2 eV/f.u.
* magnetization: 0.00 μB/f.u.



8.
CaLa3Ru | GGA-PBE | optimized geometry

a = 6.287 Å, b = 6.287 Å, c = 18.765 Å
α = 90.00°, β = 90.00°, γ = 90.00°
Space group I-4m2 (No. 119)
One atom of each set of equivalent atoms:
Ca: 0.000 0.000 0.196
La: 0.000 0.249 0.371
La: 0.000 0.500 0.530
Ru: 0.000 0.000 0.500
Ru: 0.000 0.500 0.250

Values from the calculation:
* energy relative to the lowest polymorph listed for this composition: 344.6 meV per atom
* crystal system: tetragonal
* DFT formation energy: 0.9 eV/f.u.
* magnetization: 0.00 μB/f.u.